Compound: ScCd3Pd
Source: Alexandria via LeMat-Bulk
Functional: PBE-GGA
Structure: relaxed

CIF file:
```
data_ScCd3Pd
_chemical_formula_sum 'Sc4 Cd12 Pd4'
_cell_length_a 9.6153
_cell_length_b 3.4887
_cell_length_c 12.6204
_cell_angle_alpha 90.00
_cell_angle_beta 90.00
_cell_angle_gamma 90.00
_symmetry_space_group_name_H-M 'P n m a'
_symmetry_Int_Tables_number 62
_symmetry_space_group_name_Hall '-P 2ac 2n'
loop_
_atom_site_label
_atom_site_type_symbol
_atom_site_fract_x
_atom_site_fract_y
_atom_site_fract_z
Sc1 Sc 0.1780 0.2500 0.9999
Cd1 Cd 0.0549 0.7500 0.1902
Cd2 Cd 0.0564 0.2500 0.4101
Cd3 Cd 0.1918 0.7500 0.7911
Pd1 Pd 0.1715 0.2500 0.6179
```

Calculated values
- formation enthalpy at 0 K (eV/atom) = -0.30
- total magnetization (Bohr magnetons per cell) = 0.000